Entry 1:
The following is a DFT calculation (PBE-GGA) of RbAc2SeS5 after structural relaxation.

E_form (uncorrected)	-1243	meV/atom
DFT total energy	-4.9441	eV/atom
D(E_F)	11.3	states/eV per cell

Lattice parameters (Å, degrees): 8.4174 8.4174 9.4739 116.37 116.37 90.00
Fractional coordinates of all 18 atoms:
S 0.7399 0.2399 0.7553
Rb 0.2500 0.2500 0.5000
Ac 0.1639 0.3361 0.0000
Rb 0.7500 0.7500 0.5000
Ac 0.6639 0.1639 0.0000
Se 0.7500 0.2500 0.5000
S 0.7601 0.9846 0.2447
Se 0.2500 0.7500 0.5000
Ac 0.8361 0.6639 0.0000
S 0.2601 0.7601 0.2447
S 0.0000 0.0000 0.0000
Ac 0.3361 0.8361 0.0000
S 0.4846 0.2601 0.2447
S 0.2399 0.0154 0.7553
S 0.5154 0.7399 0.7553
S 0.5000 0.5000 0.0000
S 0.9846 0.4846 0.2447
S 0.0154 0.5154 0.7553



Entry 2:
The following is a DFT calculation (PBE-GGA) of Sc3Ni2 after structural relaxation.

DFT total energy	-6.2586	eV/atom
polymorph energy (0 for the lowest one)	0.234	eV per atom
D(E_F)	4.3	states/eV per cell

Lattice parameters (Å, degrees): 9.0203 9.0203 9.0203 23.28 23.28 23.28
Fractional coordinates of all 5 atoms:
Sc 0.0000 0.0000 0.0000
Sc 0.2209 0.2209 0.2209
Sc 0.7791 0.7791 0.7791
Ni 0.6073 0.6073 0.6073
Ni 0.3927 0.3927 0.3927



Entry 3:
The following is a DFT calculation (PBE-GGA) of PaGa7 after structural relaxation.

DFT total energy	-3.9743	eV/atom
D(E_F)	5.9	states/eV per cell

Lattice parameters (Å, degrees): 4.5873 4.5873 7.9035 106.87 106.87 90.00
Fractional coordinates of all 8 atoms:
Ga 0.8617 0.3617 0.7235
Pa 0.0000 0.0000 0.0000
Ga 0.3617 0.8617 0.7235
Ga 0.1383 0.6383 0.2765
Ga 0.6383 0.1383 0.2765
Ga 0.2363 0.2363 0.4726
Ga 0.5000 0.5000 0.0000
Ga 0.7637 0.7637 0.5274



Entry 4:
The following is a DFT calculation (PBE-GGA) of K2TmCuCl6 after structural relaxation.

E_form (uncorrected)	-1784	meV/atom
DFT total energy	-3.9679	eV/atom
polymorph energy (0 for the lowest one)	0.000	eV per atom
D(E_F)	0.0	states/eV per cell

Lattice parameters (Å, degrees): 7.6201 8.2312 9.1873 90.00 90.15 90.00
Each line ends with the local moment (μB).
Fractional coordinates of all 20 atoms:
Cl 0.6617 0.2715 0.9512  0.00
Cl 0.8383 0.7715 0.5488  0.00
K 0.0189 0.9177 0.2527  0.00
Cl 0.7851 0.8390 0.9526  0.00
Cl 0.7149 0.3390 0.5474  0.00
Cu 0.5000 0.0000 0.5000  0.07
K 0.5189 0.5823 0.7527  0.00
Cl 0.4047 0.9696 0.7204  0.00
Cu 0.0000 0.5000 0.0000  0.07
Cl 0.5953 0.0304 0.2796  0.00
K 0.4811 0.4177 0.2473  0.00
Tm 0.5000 0.0000 0.0000  0.00
Cl 0.1617 0.2285 0.4512  0.00
Cl 0.2851 0.6610 0.4526  0.00
Cl 0.3383 0.7285 0.0488  0.00
Cl 0.0953 0.4696 0.7796  0.00
K 0.9811 0.0823 0.7473  0.00
Tm 0.0000 0.5000 0.5000  0.00
Cl 0.2149 0.1610 0.0474  0.00
Cl 0.9047 0.5304 0.2204  0.00



Entry 5:
The following is a DFT calculation (PBE-GGA) of TmGaOs2C after structural relaxation.

DFT total energy	-8.0692	eV/atom
D(E_F)	8.1	states/eV per cell

Lattice parameters (Å, degrees): 3.9445 5.8538 7.3073 90.00 90.00 109.69
Fractional coordinates of all 10 atoms:
Os 0.8349 0.6698 0.0612
Os 0.8349 0.6698 0.4388
Ga 0.2650 0.5300 0.2500
Tm 0.4542 0.9084 0.7500
Ga 0.7350 0.4700 0.7500
C 0.0000 0.0000 0.0000
Os 0.1651 0.3302 0.5612
C 0.0000 0.0000 0.5000
Tm 0.5458 0.0916 0.2500
Os 0.1651 0.3302 0.9388



Entry 6:
The following is a DFT calculation (PBE-GGA) of CdBr2Cl after structural relaxation.

E_form (uncorrected)	-290	meV/atom
DFT total energy	-1.8173	eV/atom
polymorph energy (0 for the lowest one)	0.270	eV per atom
D(E_F)	2.3	states/eV per cell

Lattice parameters (Å, degrees): 3.3574 3.3666 10.6178 90.00 90.00 90.00
Fractional coordinates of all 4 atoms:
Br 0.0000 0.0000 0.9947
Cl 0.5000 0.5000 0.6547
Cd 0.0000 0.0000 0.5097
Br 0.5000 0.5000 0.3410



Entry 7:
The following is a DFT calculation (PBE-GGA) of NiHgBi2 after structural relaxation.

DFT total energy	-3.1785	eV/atom
D(E_F)	5.4	states/eV per cell

Lattice parameters (Å, degrees): 6.4363 6.4363 7.6816 65.23 65.23 90.00
Fractional coordinates of all 8 atoms:
Hg 0.0000 0.0000 0.0000
Hg 0.7500 0.2500 0.5000
Ni 0.5000 0.5000 0.0000
Bi 0.5531 0.1250 0.2500
Bi 0.3750 0.4469 0.7500
Ni 0.2500 0.7500 0.5000
Bi 0.1969 0.6250 0.2500
Bi 0.8750 0.8031 0.7500



Entry 8:
The following is a DFT calculation (PBE-GGA) of Ta3BiB after structural relaxation.

DFT total energy	-8.9201	eV/atom
polymorph energy (0 for the lowest one)	0.000	eV per atom
D(E_F)	7.7	states/eV per cell

Lattice parameters (Å, degrees): 4.4612 4.4612 4.4612 90.00 90.00 90.00
Fractional coordinates of all 5 atoms:
Ta 0.5000 0.0000 0.0000
Ta 0.0000 0.0000 0.5000
Ta 0.0000 0.5000 0.0000
B 0.0000 0.0000 0.0000
Bi 0.5000 0.5000 0.5000



Entry 9:
The following is a DFT calculation (PBE-GGA) of Na3SrCr after structural relaxation.

DFT total energy	-2.4651	eV/atom
polymorph energy (0 for the lowest one)	0.000	eV per atom
D(E_F)	3.4	states/eV per cell

Lattice parameters (Å, degrees): 5.8459 5.8459 5.8459 90.00 90.00 90.00
Each line ends with the local moment (μB).
Fractional coordinates of all 5 atoms:
Sr 0.5000 0.5000 0.5000  -0.02
Na 0.0000 0.0000 0.5000  0.00
Na 0.5000 0.0000 0.0000  0.02
Na 0.0000 0.5000 0.0000  0.01
Cr 0.0000 0.0000 0.0000  4.23



Entry 10:
The following is a DFT calculation (PBE-GGA) of LiCaScSn after structural relaxation.

DFT total energy	-3.9318	eV/atom
D(E_F)	2.6	states/eV per cell

Lattice parameters (Å, degrees): 5.1453 5.1453 5.1453 60.00 60.00 60.00
Fractional coordinates of all 4 atoms:
Li 0.7500 0.7500 0.7500
Sc 0.5000 0.5000 0.5000
Ca 0.0000 0.0000 0.0000
Sn 0.2500 0.2500 0.2500



Entry 11:
The following is a DFT calculation (PBE-GGA) of AcCeEuCd after structural relaxation.

DFT total energy	-5.1930	eV/atom
D(E_F)	9.2	states/eV per cell

Lattice parameters (Å, degrees): 5.7187 5.7187 5.7187 60.00 60.00 60.00
Each line ends with the local moment (μB).
Fractional coordinates of all 4 atoms:
Cd 0.7500 0.7500 0.7500  -0.01
Eu 0.5000 0.5000 0.5000  7.00
Ce 0.0000 0.0000 0.0000  1.19
Ac 0.2500 0.2500 0.2500  0.36



Entry 12:
The following is a DFT calculation (PBE-GGA) of Al3V6H after structural relaxation.

DFT total energy	-6.8261	eV/atom
D(E_F)	8.2	states/eV per cell

Lattice parameters (Å, degrees): 7.3836 6.0964 6.0964 49.10 46.72 46.72
Fractional coordinates of all 10 atoms:
V 0.6208 0.3483 0.8093
V 0.3792 0.6517 0.1907
V 0.3792 0.1907 0.6517
V 0.8385 0.2874 0.2874
V 0.1615 0.7126 0.7126
Al 0.1474 0.3199 0.3199
Al 0.8526 0.6801 0.6801
H 0.5000 0.5000 0.5000
Al 0.0000 0.0000 0.0000
V 0.6208 0.8093 0.3483



Entry 13:
The following is a DFT calculation (PBE-GGA) of Ac2NiPd2 after structural relaxation.

DFT total energy	-5.5074	eV/atom
D(E_F)	6.9	states/eV per cell

Lattice parameters (Å, degrees): 4.2468 6.0936 10.6023 83.94 78.45 69.61
Fractional coordinates of all 10 atoms:
Ac 0.9138 0.2818 0.8907
Pd 0.9553 0.6794 0.4099
Ac 0.6967 0.2448 0.3618
Ac 0.0862 0.7182 0.1093
Ni 0.5800 0.1494 0.6907
Pd 0.0447 0.3206 0.5901
Pd 0.6383 0.8389 0.8845
Ni 0.4200 0.8506 0.3093
Ac 0.3033 0.7552 0.6382
Pd 0.3617 0.1611 0.1155



Entry 14:
The following is a DFT calculation (PBE-GGA) of Ta8Nb3W2 after structural relaxation.

DFT total energy	-11.6480	eV/atom
D(E_F)	16.9	states/eV per cell

Lattice parameters (Å, degrees): 5.4852 5.4544 9.7105 123.96 75.20 95.22
Fractional coordinates of all 13 atoms:
Ta 0.1133 0.9229 0.2373
Nb 0.9561 0.6996 0.9248
Ta 0.3521 0.7559 0.6867
Ta 0.1832 0.5520 0.3873
Ta 0.8867 0.0771 0.7627
Nb 0.0439 0.3004 0.0752
Ta 0.6479 0.2441 0.3133
W 0.7244 0.8499 0.4631
W 0.2756 0.1501 0.5369
Ta 0.8168 0.4480 0.6127
Ta 0.4140 0.3867 0.8447
Ta 0.5860 0.6133 0.1553
Nb 0.5000 0.0000 0.0000



Entry 15:
The following is a DFT calculation (PBE-GGA) of BaSnNO2 after structural relaxation.

E_form (uncorrected)	425	meV/atom
DFT total energy	-4.4080	eV/atom
D(E_F)	1.8	states/eV per cell

Lattice parameters (Å, degrees): 4.6445 4.6445 4.7459 90.00 90.00 90.00
Each line ends with the local moment (μB).
Fractional coordinates of all 5 atoms:
Ba 0.0000 0.0000 0.0000  0.09
O 0.5000 0.0000 0.0000  0.31
Sn 0.5000 0.5000 0.5000  -0.04
N 0.0000 0.0000 0.5000  0.41
O 0.0000 0.5000 0.0000  0.31



Entry 16:
The following is a DFT calculation (PBE-GGA) of CsSn2W after structural relaxation.

DFT total energy	-4.2563	eV/atom
D(E_F)	2.4	states/eV per cell

Lattice parameters (Å, degrees): 5.3757 5.3757 5.3757 60.00 60.00 60.00
Each line ends with the local moment (μB).
Fractional coordinates of all 4 atoms:
Sn 0.7500 0.7500 0.7500  -0.05
W 0.5000 0.5000 0.5000  2.10
Cs 0.0000 0.0000 0.0000  0.02
Sn 0.2500 0.2500 0.2500  -0.05



Entry 17:
The following is a DFT calculation (PBE-GGA) of HgBF5 after structural relaxation.

E_form (uncorrected)	-2165	meV/atom
DFT total energy	-4.4984	eV/atom
D(E_F)	0.0	states/eV per cell

Lattice parameters (Å, degrees): 9.9680 10.2492 21.3687 19.94 20.11 22.05
Fractional coordinates of all 14 atoms:
F 0.7581 0.9486 0.8444
B 0.8292 0.0325 0.5315
F 0.6687 0.1915 0.4755
F 0.1474 0.8427 0.3085
F 0.8036 0.1373 0.1226
F 0.8819 0.2747 0.4440
F 0.3067 0.9408 0.9134
F 0.9374 0.6322 0.6762
B 0.9100 0.0389 0.0615
F 0.4009 0.1877 0.4024
F 0.6212 0.0438 0.1435
Hg 0.6038 0.5792 0.6177
Hg 0.7470 0.6539 0.0925
F 0.3841 0.4962 0.8662



Entry 18:
The following is a DFT calculation (PBE-GGA) of RhPb2I after structural relaxation.

E_form (uncorrected)	433	meV/atom
DFT total energy	-3.6468	eV/atom
polymorph energy (0 for the lowest one)	0.327	eV per atom
D(E_F)	1.4	states/eV per cell

Lattice parameters (Å, degrees): 5.3332 5.3332 5.3332 60.00 60.00 60.00
Fractional coordinates of all 4 atoms:
I 0.5000 0.5000 0.5000
Pb 0.2500 0.2500 0.2500
Pb 0.7500 0.7500 0.7500
Rh 0.0000 0.0000 0.0000



Entry 19:
The following is a DFT calculation (PBE-GGA) of TlPt3Pb after structural relaxation.

DFT total energy	-3.9478	eV/atom
polymorph energy (0 for the lowest one)	0.000	eV per atom
D(E_F)	2.7	states/eV per cell

Lattice parameters (Å, degrees): 5.0830 5.0830 5.0830 90.00 90.00 90.00
Fractional coordinates of all 5 atoms:
Pb 0.5000 0.5000 0.5000
Tl 0.0000 0.0000 0.0000
Pt 0.0000 0.5000 0.0000
Pt 0.5000 0.0000 0.0000
Pt 0.0000 0.0000 0.5000



Entry 20:
The following is a DFT calculation (PBE-GGA) of AlMo2Cl after structural relaxation.

E_form (uncorrected)	372	meV/atom
DFT total energy	-6.4413	eV/atom
polymorph energy (0 for the lowest one)	0.335	eV per atom
D(E_F)	3.7	states/eV per cell

Lattice parameters (Å, degrees): 2.8007 2.8007 8.5314 90.00 90.00 108.02
Fractional coordinates of all 4 atoms:
Mo 0.0000 0.0000 0.0052
Cl 0.5000 0.5000 0.7500
Al 0.5000 0.5000 0.2500
Mo 0.0000 0.0000 0.4948



Entry 21:
The following is a DFT calculation (PBE-GGA) of Ba2RuPb after structural relaxation.

DFT total energy	-4.0928	eV/atom
D(E_F)	4.4	states/eV per cell

Lattice parameters (Å, degrees): 6.9464 6.9464 6.9464 147.85 131.98 58.97
Fractional coordinates of all 4 atoms:
Ba 0.0504 0.0504 0.0000
Ru 0.2741 0.7741 0.5000
Ba 0.7409 0.2409 0.5000
Pb 0.4345 0.4345 0.0000



Entry 22:
The following is a DFT calculation (PBE-GGA) of Tb2PmNdSm6 after structural relaxation.

DFT total energy	-4.5913	eV/atom
D(E_F)	29.7	states/eV per cell

Lattice parameters (Å, degrees): 9.7463 8.9239 8.9239 117.70 94.01 94.01
Fractional coordinates of all 20 atoms:
Pm 0.2500 0.9730 0.0270
Sm 0.8174 0.4322 0.9802
Sm 0.4440 0.2465 0.8842
Sm 0.3798 0.5089 0.2939
Sm 0.5560 0.7535 0.1158
Sm 0.9440 0.8842 0.2465
Sm 0.1202 0.7061 0.4911
Tb 0.9546 0.7039 0.8038
Sm 0.1826 0.5678 0.0198
Sm 0.3174 0.9802 0.4322
Tb 0.5454 0.1962 0.2961
Sm 0.6826 0.0198 0.5678
Tb 0.0454 0.2961 0.1962
Pm 0.7500 0.0270 0.9730
Sm 0.8798 0.2939 0.5089
Nd 0.2500 0.4069 0.5931
Nd 0.7500 0.5931 0.4069
Tb 0.4546 0.8038 0.7039
Sm 0.0560 0.1158 0.7535
Sm 0.6202 0.4911 0.7061



Entry 23:
The following is a DFT calculation (PBE-GGA) of LiLaTmSi after structural relaxation.

E_form (uncorrected)	-327	meV/atom
DFT total energy	-4.5113	eV/atom
D(E_F)	2.1	states/eV per cell

Lattice parameters (Å, degrees): 5.0810 5.0810 5.0810 60.00 60.00 60.00
Fractional coordinates of all 4 atoms:
La 0.5000 0.5000 0.5000
Li 0.2500 0.2500 0.2500
Si 0.7500 0.7500 0.7500
Tm 0.0000 0.0000 0.0000



Entry 24:
The following is a DFT calculation (PBE-GGA) of BeCu3S after structural relaxation.

E_form (uncorrected)	598	meV/atom
DFT total energy	-3.4300	eV/atom
polymorph energy (0 for the lowest one)	0.000	eV per atom
D(E_F)	2.7	states/eV per cell

Lattice parameters (Å, degrees): 4.1062 4.1062 4.1062 90.00 90.00 90.00
Fractional coordinates of all 5 atoms:
Cu 0.0000 0.5000 0.0000
S 0.5000 0.5000 0.5000
Be 0.0000 0.0000 0.0000
Cu 0.5000 0.0000 0.0000
Cu 0.0000 0.0000 0.5000